[1]
NaVBiOs2: optimized geometry, PBE.

Computed properties:
Mass density = 11247 kg/m3

a b c (Å): 4.7198 4.7198 4.3968
angles (deg): 90.00 90.00 90.00
Space group P4/mmm (No. 123)
Inequivalent atoms, fractional coordinates:
Na 0.0000 0.0000 0.0000 (multiplicity 1)
V 0.0000 0.0000 0.5000 (multiplicity 1)
Bi 0.5000 0.5000 0.5000 (multiplicity 1)
Os 0.0000 0.5000 0.0000 (multiplicity 2)

[2]
NaBi3P: optimized geometry, PBE.

Computed properties:
Relative energy among the computed polymorphs = 74.7 kJ/mol of atoms
Mass density = 7045 kg/m3

a b c (Å): 5.4343 5.4343 5.4343
angles (deg): 90.00 90.00 90.00
Space group Pm-3m (No. 221)
Inequivalent atoms, fractional coordinates:
Na 0.0000 0.0000 0.0000 (multiplicity 1)
Bi 0.0000 0.0000 0.5000 (multiplicity 3)
P 0.5000 0.5000 0.5000 (multiplicity 1)

no.,uncorrected energy (eV/atom),calculated volume (Å³/atom),calculated formation energy (kJ/mol of atoms)
1,-5.033,19.6,224.10
2,-2.617,32.1,101.99